Entry 1:
An optimized crystal structure of Ac8InOs2, computed with GGA-PBE.

POSCAR file:
```
Ac8InOs2
1.0
6.010 0.237 -0.893
-1.883 7.734 -3.203
0.174 -0.038 8.578
Ac Os In
8 2 1
Cartesian
0.598 3.058 1.913
0.908 7.319 2.397
3.380 0.659 2.116
3.695 4.929 2.606
4.636 6.047 -1.131
5.663 2.167 4.750
2.839 2.704 -0.984
1.449 5.274 5.498
2.545 2.480 4.545
1.746 5.499 -0.031
6.003 0.264 -0.874
```

As for the symmetry: No. 8. As for the volume: 402.8 Å³/cell. The energy of formation from the pure elements comes out at -0.025 eV/atom. The value obtained for the mass density is 9.528 g/cm³.


Entry 2:
An optimized crystal structure of Ac4In2Os, computed with GGA-PBE.

POSCAR file:
```
Ac4In2Os
1.0
5.730 0.000 0.000
0.000 5.730 0.000
-2.865 -2.865 8.383
In Ac Os
2 4 1
Cartesian
0.000 0.000 6.272
2.865 2.865 2.111
0.000 2.865 0.000
2.865 0.000 0.000
0.000 0.000 2.945
2.865 2.865 5.438
0.000 0.000 0.000
```

As for the symmetry: No. 139. The energy above the most stable polymorph in this dataset comes out at 0.117 eV/atom. As for the volume: 275.2 Å³/cell. The energy of formation from the pure elements comes out at -0.121 eV/atom. The value obtained for the mass density is 8.012 g/cm³.